LuCo2C | GGA-PBE | relaxed

Its total magnetization is 0.00 μB/atom. The value obtained for the calculated formation energy is 0.57 eV/f.u.

The space group is R-3m (No. 166, hexagonal axes) and the conventional cell measures 3.4523, 3.4523 and 14.8389 Å, with angles of 90.00, 90.00 and 120.00 degrees. Symmetry generates all atoms from Lu at (0.0000, 0.0000, 0.0000), Co at (0.0000, 0.0000, 0.2025) and C at (0.0000, 0.0000, 0.5000).

---

Ba8CdPtAu2 | GGA-PBE | relaxed

Its total magnetization is 0.00 μB/atom. The value obtained for the calculated formation energy is -5.38 eV/f.u.

The space group is P2/m (No. 10) and the conventional cell measures 7.6734, 9.8974 and 7.9635 Å, with angles of 90.00, 90.61 and 90.00 degrees. Symmetry generates all atoms from Ba at (0.2227, 0.0000, 0.3392), Ba at (0.2386, 0.5000, 0.3172), Ba at (0.2713, 0.2731, 0.8275), Cd at (0.5000, 0.0000, 0.0000), Pt at (0.5000, 0.5000, 0.0000) and Au at (0.0000, 0.2550, 0.5000).

---

TlReMo2 | GGA-PBE | relaxed

Its total magnetization is 0.00 μB/atom. The value obtained for the calculated formation energy is 2.47 eV/f.u. The relative energy among the computed polymorphs comes out at 198 meV/atom.

The space group is R3m (No. 160, hexagonal axes) and the conventional cell measures 2.9261, 2.9261 and 28.1307 Å, with angles of 90.00, 90.00 and 120.00 degrees. Symmetry generates all atoms from Tl at (0.0000, 0.0000, 0.0000), Re at (0.0000, 0.0000, 0.2442), Mo at (0.0000, 0.0000, 0.5036) and Mo at (0.0000, 0.0000, 0.7561).

---

NpB6 | GGA-PBE | relaxed

Its total magnetization is 0.32 μB/atom. The value obtained for the calculated formation energy is -0.83 eV/f.u. The relative energy among the computed polymorphs comes out at 145 meV/atom.

The space group is Im-3m (No. 229) and the conventional cell measures 4.9442, 4.9442 and 4.9442 Å, with angles of 90.00, 90.00 and 90.00 degrees. Symmetry generates all atoms from Np at (0.0000, 0.0000, 0.0000) and B at (0.0000, 0.2500, 0.5000).

---

Rb2TcI4Cl2 | GGA-PBE | relaxed

Its total magnetization is 0.34 μB/atom. As for the final energy: -0.1248 Ha/atom.

The space group is C2/m (No. 12) and the conventional cell measures 13.4669, 8.0917 and 8.1779 Å, with angles of 90.00, 126.72 and 90.00 degrees. Symmetry generates all atoms from Rb at (0.2486, 0.0000, 0.2838), Tc at (0.0000, 0.0000, 0.5000), I at (0.0249, 0.2409, 0.7620) and Cl at (0.2175, 0.0000, 0.6730).

---

Dy2ZnCu4Ge3 | GGA-PBE | relaxed

Its total magnetization is 0.00 μB/atom. The value obtained for the calculated formation energy is -4.70 eV/f.u.

The space group is P-4m2 (No. 115) and the conventional cell measures 4.0578, 4.0578 and 10.2836 Å, with angles of 90.00, 90.00 and 90.00 degrees. Symmetry generates all atoms from Dy at (0.0000, 0.5000, 0.2433), Zn at (0.0000, 0.0000, 0.5000), Cu at (0.0000, 0.0000, 0.0000), Cu at (0.0000, 0.5000, 0.6359), Cu at (0.5000, 0.5000, 0.0000), Ge at (0.0000, 0.5000, 0.8643) and Ge at (0.5000, 0.5000, 0.5000).

---

TaTcOs3 | GGA-PBE | relaxed

Its total magnetization is 0.00 μB/atom. The value obtained for the calculated formation energy is 10.41 eV/f.u. The relative energy among the computed polymorphs comes out at 0 meV/atom.

The space group is Pm-3m (No. 221) and the conventional cell measures 4.6040, 4.6040 and 4.6040 Å, with angles of 90.00, 90.00 and 90.00 degrees. Symmetry generates all atoms from Ta at (0.0000, 0.0000, 0.0000), Tc at (0.5000, 0.5000, 0.5000) and Os at (0.0000, 0.5000, 0.5000).

---

Tb6PrZn2 | GGA-PBE | relaxed

Its total magnetization is 0.00 μB/atom. The value obtained for the calculated formation energy is -1.24 eV/f.u. The relative energy among the computed polymorphs comes out at 0 meV/atom.

The space group is C2/m (No. 12) and the conventional cell measures 12.5303, 3.6613 and 11.8402 Å, with angles of 90.00, 108.71 and 90.00 degrees. Symmetry generates all atoms from Tb at (0.0224, 0.0000, 0.3333), Tb at (0.1877, 0.5000, 0.5879), Tb at (0.1908, 0.5000, 0.8739), Pr at (0.0000, 0.0000, 0.0000) and Zn at (0.1522, 0.5000, 0.2132).

---

Ce5Sn3 | GGA-PBE | relaxed

Its total magnetization is 0.87 μB/atom. The value obtained for the calculated formation energy is -3.99 eV/f.u. The relative energy among the computed polymorphs comes out at 32 meV/atom.

The space group is P6_3/mcm (No. 193) and the conventional cell measures 9.4062, 9.4062 and 6.4441 Å, with angles of 90.00, 90.00 and 120.00 degrees. Symmetry generates all atoms from Ce at (0.0000, 0.2622, 0.2500), Ce at (0.3333, 0.6667, 0.0000) and Sn at (0.0000, 0.3831, 0.7500).

---

LaPm2ErTm2 | GGA-PBE | relaxed

Its total magnetization is 0.00 μB/atom. The value obtained for the calculated formation energy is 0.40 eV/f.u.

The space group is Pnnm (No. 58) and the conventional cell measures 7.0127, 9.8635 and 5.6548 Å, with angles of 90.00, 90.00 and 90.00 degrees. Symmetry generates all atoms from La at (0.0000, 0.0000, 0.0000), Pm at (0.2457, 0.3330, 0.0000), Er at (0.0000, 0.5000, 0.5000) and Tm at (0.2498, 0.1664, 0.5000).

---

Ti2AgHgH | GGA-PBE | relaxed

Its total magnetization is 0.00 μB/atom. The relative energy among the computed polymorphs comes out at 0 meV/atom.

The space group is P4/mmm (No. 123) and the conventional cell measures 4.1160, 4.1160 and 4.3029 Å, with angles of 90.00, 90.00 and 90.00 degrees. Symmetry generates all atoms from Ti at (0.0000, 0.5000, 0.0000), Ag at (0.0000, 0.0000, 0.5000), Hg at (0.5000, 0.5000, 0.5000) and H at (0.0000, 0.0000, 0.0000).

---

POsN | GGA-PBE | relaxed

Its total magnetization is 0.00 μB/atom. The relative energy among the computed polymorphs comes out at 187 meV/atom.

The space group is Cm (No. 8) and the conventional cell measures 7.2423, 2.8300 and 4.4081 Å, with angles of 90.00, 119.84 and 90.00 degrees. Symmetry generates all atoms from P at (0.0000, 0.0000, 0.0000), Os at (0.3281, 0.0000, 0.5174) and N at (0.4911, 0.5000, 0.3835).

---

MnNiP2S | GGA-PBE | relaxed

Its total magnetization is 0.02 μB/atom. The relative energy among the computed polymorphs comes out at 286 meV/atom.

The space group is P4/mmm (No. 123) and the conventional cell measures 4.2521, 4.2521 and 4.5636 Å, with angles of 90.00, 90.00 and 90.00 degrees. Symmetry generates all atoms from Mn at (0.0000, 0.0000, 0.0000), Ni at (0.5000, 0.5000, 0.5000), P at (0.0000, 0.5000, 0.5000) and S at (0.5000, 0.5000, 0.0000).

---

MgIn2Ag | GGA-PBE | relaxed

Its total magnetization is 0.00 μB/atom. The value obtained for the calculated formation energy is -0.21 eV/f.u.

The space group is Pmmm (No. 47) and the conventional cell measures 4.4161, 4.4294 and 4.4959 Å, with angles of 90.00, 90.00 and 90.00 degrees. Symmetry generates all atoms from Mg at (0.0000, 0.0000, 0.0000), In at (0.0000, 0.5000, 0.5000), In at (0.5000, 0.5000, 0.0000) and Ag at (0.5000, 0.0000, 0.5000).

---

Ag3HPt | GGA-PBE | relaxed

Its total magnetization is 0.00 μB/atom. The relative energy among the computed polymorphs comes out at 181 meV/atom.

The space group is Pm-3m (No. 221) and the conventional cell measures 4.1506, 4.1506 and 4.1506 Å, with angles of 90.00, 90.00 and 90.00 degrees. Symmetry generates all atoms from Ag at (0.0000, 0.0000, 0.5000), H at (0.0000, 0.0000, 0.0000) and Pt at (0.5000, 0.5000, 0.5000).

---

Cs2TbCr3Cl12 | GGA-PBE | relaxed

Its total magnetization is 0.61 μB/atom. As for the final energy: -0.1726 Ha/atom.

The space group is R-3m (No. 166, hexagonal axes) and the conventional cell measures 9.1363, 9.1363 and 22.9009 Å, with angles of 90.00, 90.00 and 120.00 degrees. Symmetry generates all atoms from Cs at (0.0000, 0.0000, 0.1065), Tb at (0.0000, 0.0000, 0.5000), Cr at (0.0000, 0.5000, 0.0000), Cl at (0.0441, 0.5220, 0.1067) and Cl at (0.0711, 0.5356, 0.3475).

---

Pu2RhCl | GGA-PBE | relaxed

Its total magnetization is 2.70 μB/atom. The relative energy among the computed polymorphs comes out at 9 meV/atom.

The space group is R-3m (No. 166, hexagonal axes) and the conventional cell measures 3.9092, 3.9092 and 22.7664 Å, with angles of 90.00, 90.00 and 120.00 degrees. Symmetry generates all atoms from Pu at (0.0000, 0.0000, 0.2379), Rh at (0.0000, 0.0000, 0.5000) and Cl at (0.0000, 0.0000, 0.0000).

---

Mg3CrPd | GGA-PBE | relaxed

Its total magnetization is 0.16 μB/atom. The value obtained for the calculated formation energy is 3.59 eV/f.u. The relative energy among the computed polymorphs comes out at 0 meV/atom.

The space group is Pm-3m (No. 221) and the conventional cell measures 4.8644, 4.8644 and 4.8644 Å, with angles of 90.00, 90.00 and 90.00 degrees. Symmetry generates all atoms from Mg at (0.0000, 0.0000, 0.5000), Cr at (0.5000, 0.5000, 0.5000) and Pd at (0.0000, 0.0000, 0.0000).

---

Pm5Er2Th4 | GGA-PBE | relaxed

Its total magnetization is 0.00 μB/atom. The value obtained for the calculated formation energy is 2.46 eV/f.u.

The space group is C2/m (No. 12) and the conventional cell measures 12.0957, 7.0077 and 8.9772 Å, with angles of 90.00, 103.99 and 90.00 degrees. Symmetry generates all atoms from Pm at (0.0000, 0.0000, 0.0000), Pm at (0.0573, 0.2791, 0.3301), Er at (0.1677, 0.0000, 0.6585), Th at (0.1476, 0.5000, 0.9973) and Th at (0.2159, 0.5000, 0.6772).

---

Sr2PtSe | GGA-PBE | relaxed

Its total magnetization is 0.00 μB/atom. As for the final energy: -0.1567 Ha/atom.

The space group is I-4m2 (No. 119) and the conventional cell measures 4.3167, 4.3167 and 11.9645 Å, with angles of 90.00, 90.00 and 90.00 degrees. Symmetry generates all atoms from Sr at (0.0000, 0.0000, 0.0000), Sr at (0.0000, 0.5000, 0.2500), Pt at (0.0000, 0.5000, 0.7500) and Se at (0.0000, 0.0000, 0.5000).